Crystalline Sr3MnAs2O8 at its relaxed geometry. Source: the Alexandria database, functional PBE+U.

Structure (POSCAR):
```
Sr3MnAs2O8
1.0
5.7676 0.0000 0.0000
-2.8838 4.9949 0.0000
0.0000 0.0000 7.3424
Sr Mn As O
3 1 2 8
Direct
0.0000 0.0000 0.0000
0.3333 0.6667 0.6358
0.6667 0.3333 0.3642
0.0000 0.0000 0.5000
0.3333 0.6667 0.2000
0.6667 0.3333 0.8000
0.1681 0.3361 0.3190
0.1681 0.8319 0.3190
0.3333 0.6667 0.9522
0.3361 0.1681 0.6810
0.6639 0.8319 0.3190
0.6667 0.3333 0.0478
0.8319 0.1681 0.6810
0.8319 0.6639 0.6810
```

Results
As for the space group: No. 164. The final energy comes out at -6.298 eV per atom. The total moment comes out at 3.6 μB/f.u. The value obtained for the density of states at the Fermi level is 4.3 states/eV per cell. The calculation puts the calculated volume at 211.5 Å³/cell.